! CoBiS3 (PBE, optimized geometry); values from VASP
&SYSTEM
  ibrav = 0, nat = 5, ntyp = 3
/
ATOMIC_SPECIES
Co 58.93 Co.upf
Bi 208.98 Bi.upf
S 32.06 S.upf
ATOMIC_POSITIONS crystal
Co 0.000 0.000 0.000
Bi 0.500 0.500 0.500
S 0.000 0.500 0.500
S 0.500 0.000 0.500
S 0.500 0.500 0.000
CELL_PARAMETERS angstrom
5.172 0.000 0.000
0.000 5.172 0.000
0.000 0.000 5.172
! Total moment, μB per atom: 0.64
! Crystal system: cubic
! Density of states at the Fermi level, states/eV per cell: 6.4
! Energy relative to the elements, uncorrected, eV per atom: 1.098
! Volume, A^3/atom: 27.7



! LaNdSi (PBE, optimized geometry); values from VASP
&SYSTEM
  ibrav = 0, nat = 6, ntyp = 3
/
ATOMIC_SPECIES
La 138.91 La.upf
Nd 144.24 Nd.upf
Si 28.09 Si.upf
ATOMIC_POSITIONS crystal
La 0.084 0.192 0.140
La 0.916 0.808 0.860
Nd 0.323 0.279 0.572
Nd 0.677 0.721 0.428
Si 0.381 0.584 0.154
Si 0.619 0.416 0.846
CELL_PARAMETERS angstrom
4.353 0.000 0.000
2.162 5.877 0.000
2.175 0.725 6.826
! Total moment, μB per atom: 0.00
! Crystal system: triclinic
! Density of states at the Fermi level, states/eV per cell: 8.1
! Energy relative to the elements, uncorrected, eV per atom: -0.482
! Volume, A^3/atom: 29.1



! CsRb2Tl2 (PBE, optimized geometry); values from VASP
&SYSTEM
  ibrav = 0, nat = 5, ntyp = 3
/
ATOMIC_SPECIES
Cs 132.91 Cs.upf
Rb 85.47 Rb.upf
Tl 204.38 Tl.upf
ATOMIC_POSITIONS crystal
Cs 0.000 0.000 0.000
Rb 0.349 0.349 0.440
Rb 0.651 0.651 0.560
Tl 0.264 0.264 0.916
Tl 0.736 0.736 0.084
CELL_PARAMETERS angstrom
7.606 -2.749 0.000
7.606 2.749 0.000
-1.664 0.000 7.221
! Total moment, μB per atom: 0.00
! Crystal system: monoclinic
! Uncorrected energy, eV per atom: -1.55
! Density of states at the Fermi level, states/eV per cell: 3.4
! Volume, A^3/atom: 60.4



! Tb5Sm4Dy2 (PBE, optimized geometry); values from VASP
&SYSTEM
  ibrav = 0, nat = 11, ntyp = 3
/
ATOMIC_SPECIES
Tb 158.93 Tb.upf
Sm 150.36 Sm.upf
Dy 162.50 Dy.upf
ATOMIC_POSITIONS crystal
Tb 0.000 0.000 0.000
Tb 0.210 0.650 0.724
Tb 0.350 0.790 0.276
Tb 0.650 0.210 0.724
Tb 0.790 0.350 0.276
Sm 0.312 0.312 0.002
Sm 0.330 0.330 0.380
Sm 0.670 0.670 0.620
Sm 0.688 0.688 0.998
Dy 0.142 0.142 0.623
Dy 0.858 0.858 0.377
CELL_PARAMETERS angstrom
5.538 -3.714 0.000
5.538 3.714 0.000
-2.560 0.000 8.823
! Total moment, μB per atom: 0.00
! Crystal system: monoclinic
! Uncorrected energy, eV per atom: -4.54
! Density of states at the Fermi level, states/eV per cell: 17.2
! Volume, A^3/atom: 33.0



! ZnIr3Pt (PBE, optimized geometry); values from VASP
&SYSTEM
  ibrav = 0, nat = 5, ntyp = 3
/
ATOMIC_SPECIES
Zn 65.41 Zn.upf
Ir 192.22 Ir.upf
Pt 195.08 Pt.upf
ATOMIC_POSITIONS crystal
Zn 0.000 0.000 0.000
Ir 0.000 0.500 0.500
Ir 0.500 0.000 0.500
Ir 0.500 0.500 0.000
Pt 0.500 0.500 0.500
CELL_PARAMETERS angstrom
4.814 0.000 0.000
0.000 4.814 0.000
0.000 0.000 4.814
! Total moment, μB per atom: 0.63
! Crystal system: cubic
! Uncorrected energy, eV per atom: -4.81
! Density of states at the Fermi level, states/eV per cell: 8.4
! Volume, A^3/atom: 22.3



! TbNd6Sm2Y3 (PBE, optimized geometry); values from VASP
&SYSTEM
  ibrav = 0, nat = 12, ntyp = 4
/
ATOMIC_SPECIES
Tb 158.93 Tb.upf
Nd 144.24 Nd.upf
Sm 150.36 Sm.upf
Y 88.91 Y.upf
ATOMIC_POSITIONS crystal
Tb 0.000 0.000 0.000
Nd 0.084 0.417 0.251
Nd 0.249 0.249 0.749
Nd 0.417 0.084 0.251
Nd 0.583 0.916 0.749
Nd 0.751 0.751 0.251
Nd 0.916 0.583 0.749
Sm 0.333 0.667 0.000
Sm 0.667 0.333 0.000
Y 0.167 0.833 0.500
Y 0.500 0.500 0.500
Y 0.833 0.167 0.500
CELL_PARAMETERS angstrom
3.156 -5.467 0.000
3.156 5.467 0.000
-2.099 0.000 11.785
! Total moment, μB per atom: 0.00
! Crystal system: monoclinic
! Uncorrected energy, eV per atom: -5.16
! Density of states at the Fermi level, states/eV per cell: 15.1
! Volume, A^3/atom: 33.9



! CdIn2Cu (PBE, optimized geometry); values from VASP
&SYSTEM
  ibrav = 0, nat = 4, ntyp = 3
/
ATOMIC_SPECIES
Cd 112.41 Cd.upf
In 114.82 In.upf
Cu 63.55 Cu.upf
ATOMIC_POSITIONS crystal
Cd 0.000 0.000 0.000
In 0.500 0.000 0.500
In 0.500 0.500 0.000
Cu 0.000 0.500 0.500
CELL_PARAMETERS angstrom
4.323 0.000 0.000
0.000 4.417 0.000
0.000 0.000 4.444
! Total moment, μB per atom: 0.00
! Crystal system: orthorhombic
! Uncorrected energy, eV per atom: -2.46
! Density of states at the Fermi level, states/eV per cell: 1.5
! Volume, A^3/atom: 21.2



! Li2CaCd2Hg2 (PBE, optimized geometry); values from VASP
&SYSTEM
  ibrav = 0, nat = 7, ntyp = 4
/
ATOMIC_SPECIES
Li 6.94 Li.upf
Ca 40.08 Ca.upf
Cd 112.41 Cd.upf
Hg 200.59 Hg.upf
ATOMIC_POSITIONS crystal
Li 0.141 0.141 0.141
Li 0.859 0.859 0.859
Ca 0.000 0.000 0.000
Cd 0.264 0.264 0.264
Cd 0.736 0.736 0.736
Hg 0.429 0.429 0.429
Hg 0.571 0.571 0.571
CELL_PARAMETERS angstrom
2.450 1.415 7.531
-2.450 1.415 7.531
0.000 -2.829 7.531
! Total moment, μB per atom: 0.00
! Crystal system: trigonal
! Uncorrected energy, eV per atom: -1.47
! Density of states at the Fermi level, states/eV per cell: 1.5
! Volume, A^3/atom: 22.4



! Pu4Pa4Ge3 (PBE, optimized geometry); values from VASP
&SYSTEM
  ibrav = 0, nat = 11, ntyp = 3
/
ATOMIC_SPECIES
Pu 244.00 Pu.upf
Pa 231.04 Pa.upf
Ge 72.64 Ge.upf
ATOMIC_POSITIONS crystal
Pu 0.180 0.309 0.134
Pu 0.294 0.940 0.406
Pu 0.706 0.060 0.594
Pu 0.820 0.691 0.866
Pa 0.403 0.767 0.061
Pa 0.455 0.560 0.677
Pa 0.545 0.440 0.323
Pa 0.597 0.233 0.939
Ge 0.000 0.500 0.500
Ge 0.153 0.121 0.767
Ge 0.847 0.879 0.233
CELL_PARAMETERS angstrom
3.828 0.000 0.000
1.845 4.931 0.000
0.376 0.914 13.194
! Total moment, μB per atom: 2.14
! Crystal system: triclinic
! Uncorrected energy, eV per atom: -10.19
! Density of states at the Fermi level, states/eV per cell: 20.6
! Volume, A^3/atom: 22.6



! BaYCd2 (PBE, optimized geometry); values from VASP
&SYSTEM
  ibrav = 0, nat = 8, ntyp = 3
/
ATOMIC_SPECIES
Ba 137.33 Ba.upf
Y 88.91 Y.upf
Cd 112.41 Cd.upf
ATOMIC_POSITIONS crystal
Ba 0.000 0.000 0.000
Ba 0.750 0.250 0.500
Y 0.250 0.750 0.500
Y 0.500 0.500 0.000
Cd 0.163 0.625 0.038
Cd 0.375 0.413 0.538
Cd 0.587 0.125 0.962
Cd 0.875 0.837 0.462
CELL_PARAMETERS angstrom
-4.394 4.394 3.791
4.394 -4.394 3.791
4.394 4.394 -3.791
! Total moment, μB per atom: 0.00
! Crystal system: tetragonal
! Uncorrected energy, eV per atom: -2.46
! Density of states at the Fermi level, states/eV per cell: 12.2
! Volume, A^3/atom: 36.6



! TaHBr3 (PBE, optimized geometry); values from VASP
&SYSTEM
  ibrav = 0, nat = 5, ntyp = 3
/
ATOMIC_SPECIES
Ta 180.95 Ta.upf
H 1.01 H.upf
Br 79.90 Br.upf
ATOMIC_POSITIONS crystal
Ta 0.000 0.000 0.000
H 0.500 0.500 0.500
Br 0.000 0.500 0.500
Br 0.500 0.000 0.500
Br 0.500 0.500 0.000
CELL_PARAMETERS angstrom
4.564 0.000 0.000
0.000 4.564 0.000
0.000 0.000 4.564
! Total moment, μB per atom: 0.51
! Crystal system: cubic
! Uncorrected energy, eV per atom: -3.12
! Density of states at the Fermi level, states/eV per cell: 2.1
! Volume, A^3/atom: 19.0



! PrPu4Sb5 (PBE, optimized geometry); values from VASP
&SYSTEM
  ibrav = 0, nat = 10, ntyp = 3
/
ATOMIC_SPECIES
Pr 140.91 Pr.upf
Pu 244.00 Pu.upf
Sb 121.76 Sb.upf
ATOMIC_POSITIONS crystal
Pr 0.000 0.000 0.000
Pu 0.202 0.202 0.799
Pu 0.402 0.402 0.602
Pu 0.598 0.598 0.398
Pu 0.798 0.798 0.201
Sb 0.000 0.000 0.500
Sb 0.202 0.202 0.306
Sb 0.395 0.395 0.102
Sb 0.605 0.605 0.898
Sb 0.798 0.798 0.694
CELL_PARAMETERS angstrom
7.366 -2.230 0.000
7.366 2.230 0.000
-5.375 0.000 9.498
! Total moment, μB per atom: 0.00
! Crystal system: monoclinic
! Density of states at the Fermi level, states/eV per cell: 57.6
! Energy relative to the elements, uncorrected, eV per atom: -0.695
! Volume, A^3/atom: 31.2